Here is a relaxed Li3YAg crystal from Alexandria via LeMat-Bulk. Energies are from PBE.

SG: Pm-3m (221)
Total magnetic moment in μB/cell: 0.63
Energy relative to the elements in eV/atom: 0.176

Structure (CIF):
```
data_Li3YAg
_space_group_name_H-M_alt 'P 1'
_space_group_IT_number 1
_cell_length_a 4.832
_cell_length_b 4.832
_cell_length_c 4.832
_cell_angle_alpha 90.00
_cell_angle_beta 90.00
_cell_angle_gamma 90.00
loop_
_space_group_symop_operation_xyz
'x,y,z'
loop_
_atom_site_label
_atom_site_fract_x
_atom_site_fract_y
_atom_site_fract_z
Li1 0.000 0.000 0.500
Li2 0.000 0.500 0.000
Li3 0.500 0.000 0.000
Y1 0.500 0.500 0.500
Ag1 0.000 0.000 0.000
```